# 1
VASP calculation (PBE) on a relaxed structure of MgOsC3.

## Properties
Total energy: -32.41 eV per cell
ΔH_f (0 K): 1.62 eV/atom
Density of states at the Fermi level: 0.6119 states/eV per atom
V: 12.7 Å³/atom
Crystal system: cubic
Total magnetization: 0.00 μB per cell

```
data_MgOsC3
_chemical_formula_sum 'Mg1 Os1 C3'
_symmetry_space_group_name_H-M 'P m -3 m'
_symmetry_Int_Tables_number 221
_symmetry_space_group_name_Hall '-P 4 2 3'
_cell_length_a 3.991
_cell_length_b 3.991
_cell_length_c 3.991
_cell_angle_alpha 90.00
_cell_angle_beta 90.00
_cell_angle_gamma 90.00
loop_
_atom_site_label
_atom_site_type_symbol
_atom_site_fract_x
_atom_site_fract_y
_atom_site_fract_z
Mg1 Mg 0.000 0.000 0.000
Os1 Os 0.500 0.500 0.500
C1 C 0.000 0.500 0.500
```



# 2
VASP calculation (PBE) on a relaxed structure of Mg2Os2C.

## Properties
Total energy: -56.96 eV per cell
ΔH_f (0 K): 1.28 eV/atom
Density of states at the Fermi level: 0.7941 states/eV per atom
V: 14.5 Å³/atom
Crystal system: tetragonal
Total magnetization: 0.00 μB per cell

```
data_Mg2Os2C
_chemical_formula_sum 'Mg4 Os4 C2'
_symmetry_space_group_name_H-M 'P 4/m b m'
_symmetry_Int_Tables_number 127
_symmetry_space_group_name_Hall '-P 4 2ab'
_cell_length_a 5.554
_cell_length_b 5.554
_cell_length_c 4.690
_cell_angle_alpha 90.00
_cell_angle_beta 90.00
_cell_angle_gamma 90.00
loop_
_atom_site_label
_atom_site_type_symbol
_atom_site_fract_x
_atom_site_fract_y
_atom_site_fract_z
Mg1 Mg 0.165 0.335 0.000
Os1 Os 0.158 0.658 0.500
C1 C 0.000 0.000 0.000
```